## TbMgZn (GGA-PBE)

Data for crystalline TbMgZn at its relaxed geometry.

Cell: 3.347 4.865 4.865 Å, 120.00 90.00 90.00°
Element x y z (fractional)
Zn  0.167  0.333  0.667
Tb  0.667  0.667  0.333
Mg  0.166  0.000  0.000

Properties
- E_tot (eV per atom) = -2.6782
- space group = No. 187
- formation energy (eV/atom) = -0.179
- total magnetization (μB per atom) = 0.000

***

## La2CdN (GGA-PBE)

Data for crystalline La2CdN at its relaxed geometry.

Cell: 3.692 3.692 8.824 Å, 77.93 77.93 60.00°
Element x y z (fractional)
La  0.277  0.277  0.168
La  0.055  0.055  0.835
N  0.667  0.667  0.999
Cd  0.501  0.501  0.498

Properties
- uncorrected formation energy (eV per formula unit) = -3.03
- offset from the most stable computed form (eV/atom) = 0.088
- E_tot (eV per atom) = -5.5304
- space group = No. 160
- total magnetization (μB per atom) = 0.052

***

## AcMgTl2 (GGA-PBE)

Data for crystalline AcMgTl2 at its relaxed geometry.

Cell: 4.962 4.962 6.421 Å, 67.27 67.27 60.00°
Element x y z (fractional)
Ac  0.000  0.000  0.000
Tl  0.224  0.224  0.327
Tl  0.776  0.776  0.673
Mg  0.500  0.500  0.500

Properties
- offset from the most stable computed form (eV/atom) = 0.009
- E_tot (eV per atom) = -2.8890
- space group = No. 166
- formation energy (eV/atom) = -0.280
- total magnetization (μB per atom) = 0.000